No. 1
BaTaCu2: relaxed, PBE-GGA.

Structure (extended XYZ):
```
4
Lattice="-1.152 -1.162 2.866 3.095 -0.373 1.093 2.981 6.673 3.905" Properties=species:S:1:pos:R:3 pbc="T T T"
Ba 3.981 4.144 5.181
Cu 3.089 0.158 1.306
Cu 3.044 2.620 2.286
Ta 0.943 0.994 2.682
```

Summary:
ΔE to the lowest computed polymorph = 0 meV/atom
magnetic moment = 0.00 μB/f.u.
crystal system = monoclinic
SG = P2/m (10)
energy of formation from the pure elements = 336 meV/atom


No. 2
ZnCdCo2: relaxed, PBE-GGA.

Structure (extended XYZ):
```
4
Lattice="4.571 -0.005 0.013 3.745 2.620 0.013 0.841 0.264 4.731" Properties=species:S:1:pos:R:3 pbc="T T T"
Cd 6.867 2.159 3.567
Co 8.303 2.611 0.209
Co 4.591 1.444 2.195
Zn 2.289 0.720 1.189
```

Summary:
magnetic moment = 2.83 μB/f.u.
crystal system = monoclinic
SG = C2/m (12)
energy of formation from the pure elements = 258 meV/atom


No. 3
Rb2NaAcCl6: relaxed, PBE-GGA.

Structure (extended XYZ):
```
20
Lattice="7.724 0.000 0.060 0.000 8.022 0.000 0.156 0.000 11.008" Properties=species:S:1:pos:R:3 pbc="T T T"
Rb 0.207 7.525 2.794
Rb 4.147 4.508 8.328
Rb 7.672 0.497 8.274
Rb 3.733 3.514 2.740
Na 3.862 0.000 0.030
Na 0.078 4.011 5.504
Ac 3.940 0.000 5.534
Ac 0.000 4.011 0.000
Cl 2.303 5.652 0.563
Cl 6.243 6.380 6.097
Cl 5.576 2.369 10.505
Cl 1.636 1.642 4.971
Cl 2.366 5.676 4.941
Cl 6.306 6.356 10.475
Cl 5.513 2.345 6.127
Cl 1.573 1.666 0.593
Cl 6.991 4.269 2.831
Cl 3.207 7.763 8.305
Cl 0.889 3.752 8.237
Cl 4.672 0.258 2.763
```

Summary:
magnetic moment = 0.00 μB/f.u.
crystal system = monoclinic
uncorrected formation energy = -2.131 eV per atom
SG = P2_1/c (14)


No. 4
Cd2GaHg6: relaxed, PBE-GGA.

Structure (extended XYZ):
```
18
Lattice="-3.392 0.246 -4.003 2.871 -8.450 -2.951 -5.924 -4.076 5.909" Properties=species:S:1:pos:R:3 pbc="T T T"
Cd -3.175 -5.348 3.093
Cd -4.221 -10.023 0.492
Cd -2.225 -2.258 -1.538
Cd -3.270 -6.932 -4.140
Ga -0.260 -4.102 -3.477
Ga -2.962 -2.038 2.954
Hg -1.017 -0.866 0.963
Hg -1.947 -8.210 1.879
Hg -7.332 -9.445 -0.125
Hg -4.235 -3.386 0.508
Hg -6.286 -4.696 2.567
Hg -2.104 -5.571 -1.590
Hg -5.428 -11.415 -2.009
Hg -4.498 -4.071 -2.925
Hg 0.887 -2.835 -0.921
Hg -2.211 -8.894 -1.554
Hg -0.159 -7.584 -3.614
Hg -4.341 -6.709 0.544
```

Summary:
ΔE to the lowest computed polymorph = 0 meV/atom
magnetic moment = 0.00 μB/f.u.
crystal system = monoclinic
SG = P2_1/c (14)
energy of formation from the pure elements = 36 meV/atom


Among the records above, which one has the highest magnetic moment? ZnCdCo2